# 1
! YTe3 (PBE-GGA, relaxed); values from VASP
&SYSTEM
  ibrav = 0, nat = 4, ntyp = 2
/
ATOMIC_SPECIES
Y 88.91 Y.upf
Te 127.60 Te.upf
ATOMIC_POSITIONS crystal
Y 0.0000 0.0000 0.0000
Te 0.3012 0.3012 0.7971
Te 0.5000 0.5000 0.5000
Te 0.6988 0.6988 0.2029
CELL_PARAMETERS angstrom
5.7974 -1.9834 0.0000
5.7974 1.9834 0.0000
-0.7345 0.0000 5.4571
! **Volume**: 125 Å³/cell
! **Fermi-level density of states**: 2.29 states/eV/cell
! **Density**: 6.24 g/cm³
! **Symmetry**: No. 12
! **Crystal system**: monoclinic
! **Uncorrected formation energy**: -0.708 eV per atom

=====

# 2
! YTe3 (PBE-GGA, relaxed); values from VASP
&SYSTEM
  ibrav = 0, nat = 4, ntyp = 2
/
ATOMIC_SPECIES
Y 88.91 Y.upf
Te 127.60 Te.upf
ATOMIC_POSITIONS crystal
Y 0.0000 0.0000 0.0000
Te 0.0000 0.0000 0.5000
Te 0.0000 0.5000 0.0000
Te 0.5000 0.0000 0.0000
CELL_PARAMETERS angstrom
5.9215 0.0000 0.0000
0.0000 5.9215 0.0000
0.0000 0.0000 5.9215
! **Volume**: 208 Å³/cell
! **Fermi-level density of states**: 6.75 states/eV/cell
! **Density**: 3.77 g/cm³
! **Symmetry**: No. 221
! **Crystal system**: cubic
! **Uncorrected formation energy**: -0.264 eV per atom

=====

# 3
! Y3Te (PBE-GGA, relaxed); values from VASP
&SYSTEM
  ibrav = 0, nat = 8, ntyp = 2
/
ATOMIC_SPECIES
Y 88.91 Y.upf
Te 127.60 Te.upf
ATOMIC_POSITIONS crystal
Y 0.0582 0.9418 0.7500
Y 0.3648 0.6352 0.5395
Y 0.3648 0.6352 0.9605
Y 0.6352 0.3648 0.0395
Y 0.6352 0.3648 0.4605
Y 0.9418 0.0582 0.2500
Te 0.2370 0.7630 0.2500
Te 0.7630 0.2370 0.7500
CELL_PARAMETERS angstrom
1.9922 -6.0958 0.0000
1.9922 6.0958 0.0000
0.0000 0.0000 9.7752
! **Volume**: 237 Å³/cell
! **Fermi-level density of states**: 9.55 states/eV/cell
! **Density**: 5.52 g/cm³
! **Symmetry**: No. 63
! **Polymorph energy (0 for the lowest one)**: 0.000 eV/atom
! **Crystal system**: orthorhombic
! **Uncorrected formation energy**: -0.686 eV per atom

=====

# 4
! Y8Te3 (PBE-GGA, relaxed); values from VASP
&SYSTEM
  ibrav = 0, nat = 44, ntyp = 2
/
ATOMIC_SPECIES
Y 88.91 Y.upf
Te 127.60 Te.upf
ATOMIC_POSITIONS crystal
Y 0.0103 0.0103 0.4109
Y 0.0107 0.0107 0.9359
Y 0.0589 0.0589 0.7789
Y 0.1499 0.1499 0.6934
Y 0.1655 0.1655 0.3434
Y 0.2001 0.2001 0.9678
Y 0.2365 0.2365 0.5402
Y 0.2787 0.2787 0.8946
Y 0.2887 0.2887 0.3652
Y 0.3042 0.3042 0.7531
Y 0.3313 0.3313 0.1619
Y 0.3718 0.3718 0.5649
Y 0.4097 0.4097 0.0905
Y 0.4165 0.4165 0.9239
Y 0.4363 0.4363 0.4456
Y 0.4576 0.4576 0.7824
Y 0.5424 0.5424 0.2176
Y 0.5637 0.5637 0.5544
Y 0.5835 0.5835 0.0761
Y 0.5903 0.5903 0.9095
Y 0.6282 0.6282 0.4351
Y 0.6687 0.6687 0.8381
Y 0.6958 0.6958 0.2469
Y 0.7113 0.7113 0.6348
Y 0.7213 0.7213 0.1054
Y 0.7635 0.7635 0.4598
Y 0.7999 0.7999 0.0322
Y 0.8345 0.8345 0.6566
Y 0.8501 0.8501 0.3066
Y 0.9411 0.9411 0.2211
Y 0.9893 0.9893 0.0641
Y 0.9897 0.9897 0.5891
Te 0.0566 0.0566 0.3252
Te 0.1040 0.1040 0.1868
Te 0.1300 0.1300 0.5359
Te 0.1311 0.1311 0.0264
Te 0.2613 0.2613 0.2213
Te 0.4282 0.4282 0.3101
Te 0.5718 0.5718 0.6899
Te 0.7387 0.7387 0.7787
Te 0.8689 0.8689 0.9736
Te 0.8700 0.8700 0.4641
Te 0.8960 0.8960 0.8132
Te 0.9434 0.9434 0.6748
CELL_PARAMETERS angstrom
15.7006 -2.0291 0.0000
15.7006 2.0291 0.0000
-13.2136 0.0000 20.6731
! **Volume**: 1317 Å³/cell
! **Fermi-level density of states**: 43.79 states/eV/cell
! **Density**: 5.52 g/cm³
! **Symmetry**: No. 12
! **Crystal system**: monoclinic
! **Uncorrected formation energy**: -0.747 eV per atom

=====

# 5
! Y4Te3 (PBE-GGA, relaxed); values from VASP
&SYSTEM
  ibrav = 0, nat = 14, ntyp = 2
/
ATOMIC_SPECIES
Y 88.91 Y.upf
Te 127.60 Te.upf
ATOMIC_POSITIONS crystal
Y 0.0000 0.3548 0.5000
Y 0.0000 0.8548 0.5000
Y 0.1452 0.1452 0.1452
Y 0.3548 0.5000 0.0000
Y 0.5000 0.0000 0.3548
Y 0.5000 0.0000 0.8548
Y 0.6452 0.6452 0.6452
Y 0.8548 0.5000 0.0000
Te 0.1250 0.7500 0.8750
Te 0.2500 0.6250 0.3750
Te 0.3750 0.2500 0.6250
Te 0.6250 0.3750 0.2500
Te 0.7500 0.8750 0.1250
Te 0.8750 0.1250 0.7500
CELL_PARAMETERS angstrom
-4.5717 4.5717 4.5717
4.5717 -4.5717 4.5717
4.5717 4.5717 -4.5717
! **Volume**: 382 Å³/cell
! **Fermi-level density of states**: 4.43 states/eV/cell
! **Density**: 6.42 g/cm³
! **Symmetry**: No. 220
! **Polymorph energy (0 for the lowest one)**: 0.000 eV/atom
! **Crystal system**: cubic
! **Uncorrected formation energy**: -1.105 eV per atom

=====

# 6
! Y3Te5 (PBE-GGA, relaxed); values from VASP
&SYSTEM
  ibrav = 0, nat = 16, ntyp = 2
/
ATOMIC_SPECIES
Y 88.91 Y.upf
Te 127.60 Te.upf
ATOMIC_POSITIONS crystal
Y 0.0000 0.0000 0.0000
Y 0.2772 0.7777 0.8179
Y 0.3184 0.3184 0.6357
Y 0.4991 0.8178 0.3179
Y 0.7777 0.2772 0.8179
Y 0.8178 0.4991 0.3179
Te 0.1137 0.7401 0.1059
Te 0.2443 0.4548 0.9466
Te 0.3264 0.9527 0.5298
Te 0.3798 0.3798 0.3174
Te 0.4548 0.2443 0.9466
Te 0.6153 0.8259 0.6889
Te 0.7401 0.1137 0.1059
Te 0.8259 0.6153 0.6889
Te 0.8843 0.8843 0.3188
Te 0.9527 0.3264 0.5298
CELL_PARAMETERS angstrom
3.5964 -8.2189 0.0000
3.5964 8.2189 0.0000
-3.5879 0.0000 8.3084
! **Volume**: 491 Å³/cell
! **Fermi-level density of states**: 8.48 states/eV/cell
! **Density**: 6.12 g/cm³
! **Symmetry**: No. 8
! **Polymorph energy (0 for the lowest one)**: 0.054 eV/atom
! **Crystal system**: monoclinic
! **Uncorrected formation energy**: -1.192 eV per atom

=====

# 7
! Y5Te2 (PBE-GGA, relaxed); values from VASP
&SYSTEM
  ibrav = 0, nat = 14, ntyp = 2
/
ATOMIC_SPECIES
Y 88.91 Y.upf
Te 127.60 Te.upf
ATOMIC_POSITIONS crystal
Y 0.0917 0.3568 0.2870
Y 0.1381 0.8619 0.7500
Y 0.3287 0.4738 0.0621
Y 0.3568 0.0917 0.7870
Y 0.4738 0.3287 0.5621
Y 0.5262 0.6713 0.4379
Y 0.6432 0.9083 0.2130
Y 0.6713 0.5262 0.9379
Y 0.8619 0.1381 0.2500
Y 0.9083 0.6432 0.7130
Te 0.0586 0.7222 0.3981
Te 0.2778 0.9414 0.1019
Te 0.7222 0.0586 0.8981
Te 0.9414 0.2778 0.6019
CELL_PARAMETERS angstrom
8.4347 -3.4912 0.0000
8.4347 3.4912 0.0000
-0.6933 0.0000 7.3355
! **Volume**: 432 Å³/cell
! **Fermi-level density of states**: 16.97 states/eV/cell
! **Density**: 5.38 g/cm³
! **Symmetry**: No. 15
! **Crystal system**: monoclinic
! **Uncorrected formation energy**: -0.703 eV per atom

=====

# 8
! Y7Te2 (PBE-GGA, relaxed); values from VASP
&SYSTEM
  ibrav = 0, nat = 36, ntyp = 2
/
ATOMIC_SPECIES
Y 88.91 Y.upf
Te 127.60 Te.upf
ATOMIC_POSITIONS crystal
Y 0.0248 0.2500 0.1199
Y 0.0463 0.7500 0.3823
Y 0.0741 0.7500 0.6583
Y 0.1026 0.2500 0.8703
Y 0.1554 0.7500 0.0879
Y 0.1694 0.2500 0.5269
Y 0.2240 0.7500 0.7532
Y 0.2760 0.2500 0.2532
Y 0.3306 0.7500 0.0269
Y 0.3446 0.2500 0.5879
Y 0.3974 0.7500 0.3703
Y 0.4259 0.2500 0.1583
Y 0.4537 0.2500 0.8823
Y 0.4752 0.7500 0.6199
Y 0.5248 0.2500 0.3801
Y 0.5463 0.7500 0.1177
Y 0.5741 0.7500 0.8417
Y 0.6026 0.2500 0.6297
Y 0.6554 0.7500 0.4121
Y 0.6694 0.2500 0.9731
Y 0.7240 0.7500 0.7468
Y 0.7760 0.2500 0.2468
Y 0.8306 0.7500 0.4731
Y 0.8446 0.2500 0.9121
Y 0.8974 0.7500 0.1297
Y 0.9259 0.2500 0.3417
Y 0.9537 0.2500 0.6177
Y 0.9752 0.7500 0.8801
Te 0.1386 0.2500 0.2792
Te 0.2337 0.2500 0.9578
Te 0.2663 0.7500 0.4578
Te 0.3614 0.7500 0.7792
Te 0.6386 0.2500 0.2208
Te 0.7337 0.2500 0.5422
Te 0.7663 0.7500 0.0422
Te 0.8614 0.7500 0.7208
CELL_PARAMETERS angstrom
23.1902 0.0000 0.0000
0.0000 3.9442 0.0000
0.0000 0.0000 12.1682
! **Volume**: 1113 Å³/cell
! **Fermi-level density of states**: 43.77 states/eV/cell
! **Density**: 5.24 g/cm³
! **Symmetry**: No. 62
! **Crystal system**: orthorhombic
! **Uncorrected formation energy**: -0.557 eV per atom

=====

| no. | energy (eV for the cell shown) |
| --- | --- |
| 1 | -18.7 |
| 2 | -16.9 |
| 3 | -50.6 |
| 4 | -277.4 |
| 5 | -86.0 |
| 6 | -89.3 |
| 7 | -87.1 |
| 8 | -226.2 |